Here is an optimized crystal structure of Ac2CuSeO6 from Alexandria. Energies are from PBE.

Values from the calculation:
Its density of states at the Fermi level is 2.6 states/eV per cell. For the total energy, the calculation gives -6.494 eV per atom. Its total magnetization is 0.000 μB per formula unit. The space group is P4mm. As for the formation energy without anion corrections: -1939 meV per atom.

Cell: 4.071 5.736 5.736 Å, 90.00 90.00 90.00°
Fractional positions:
Ac1 0.124 0.500 0.000
O1 0.651 0.756 0.244
O2 0.651 0.756 0.756
Se1 0.634 0.000 0.000
Cu1 0.633 0.500 0.500
O3 0.137 0.500 0.500
O4 0.192 0.000 0.000
Ac2 0.124 0.000 0.500
O5 0.651 0.244 0.756
O6 0.651 0.244 0.244